[1]
Here is a geometry-optimized Cs2SrTiAs structure from the Alexandria database. Energies are from PBE-GGA.

Unit cell a=6.1565 b=6.3704 c=6.1565 alpha=90.00 beta=90.00 gamma=90.00
With the nearest neighbours (Å) after each atom.
Atoms (fractional coordinates):
Cs (0.0000, 0.0000, 0.5000)  2 Ti 3.08
Cs (0.5000, 0.0000, 0.0000)  2 Ti 3.08
Sr (0.0000, 0.5000, 0.0000)  2 Ti 3.19
As (0.5000, 0.5000, 0.5000)  4 Sr 4.35, 8 Cs 4.43
Ti (0.0000, 0.0000, 0.0000)  4 Cs 3.08, 2 Sr 3.19

Computed properties:
Formation enthalpy at 0 K ... 22.05 kcal/mol of atoms
Crystal system ... tetragonal
Density ... 3.3 g cm⁻³
Space group ... P4/mmm, No. 123
D(E_F) ... 1.684 states/eV per atom



[2]
Here is a geometry-optimized CsSrV2As structure from the Alexandria database. Energies are from PBE-GGA.

Unit cell a=4.9703 b=6.0121 c=4.9703 alpha=90.00 beta=90.00 gamma=90.00
With the nearest neighbours (Å) after each atom.
Atoms (fractional coordinates):
Cs (0.0000, 0.0000, 0.0000)  4 V 2.49
Sr (0.0000, 0.5000, 0.0000)  2 Cs 3.01
As (0.5000, 0.5000, 0.5000)  4 Sr 3.51, 8 V 3.90
V (0.0000, 0.0000, 0.5000)  2 Cs 2.49
V (0.5000, 0.0000, 0.0000)  2 Cs 2.49

Computed properties:
Formation enthalpy at 0 K ... 45.38 kcal/mol of atoms
Crystal system ... tetragonal
Density ... 4.4 g cm⁻³
Space group ... P4/mmm, No. 123
D(E_F) ... 1.347 states/eV per atom